Entry 1:
# NaBeZnAs2, relaxed, DFT PBE
data_NaBeZnAs2
_chemical_formula_sum 'Na4 Be4 Zn4 As8'
_symmetry_space_group_name_H-M 'C 1 2/m 1'
_symmetry_Int_Tables_number 12
_cell_length_a 12.3171
_cell_length_b 4.0656
_cell_length_c 8.1809
_cell_angle_alpha 90.00
_cell_angle_beta 113.85
_cell_angle_gamma 90.00
loop_
_symmetry_equiv_pos_as_xyz
'x,y,z'
'-x,-y,-z'
'-x,y,-z'
'x,-y,z'
'x+1/2,y+1/2,z'
'-x+1/2,-y+1/2,-z'
'-x+1/2,y+1/2,-z'
'x+1/2,-y+1/2,z'
loop_
_atom_site_label
_atom_site_fract_x
_atom_site_fract_y
_atom_site_fract_z
_atom_site_occupancy
Na1 0.2039 0.0000 0.1419 1
Be1 0.0121 0.0000 0.7130 1
Zn1 0.1409 0.5000 0.4089 1
As1 0.0443 0.5000 0.8827 1
As2 0.1478 0.0000 0.5885 1
# Final energy ... -16.95 eV per formula unit
# E_form ... -0.27 eV/atom

Entry 2:
# Pr4Sn3H2, relaxed, DFT PBE
data_Pr4Sn3H2
_chemical_formula_sum 'Pr16 Sn12 H8'
_symmetry_space_group_name_H-M 'C 1 2/c 1'
_symmetry_Int_Tables_number 15
_cell_length_a 14.0283
_cell_length_b 9.9061
_cell_length_c 6.7882
_cell_angle_alpha 90.00
_cell_angle_beta 103.49
_cell_angle_gamma 90.00
loop_
_symmetry_equiv_pos_as_xyz
'x,y,z'
'-x,-y,-z'
'-x,y,-z+1/2'
'x,-y,z+1/2'
'x+1/2,y+1/2,z'
'-x+1/2,-y+1/2,-z'
'-x+1/2,y+1/2,-z+1/2'
'x+1/2,-y+1/2,z+1/2'
loop_
_atom_site_label
_atom_site_fract_x
_atom_site_fract_y
_atom_site_fract_z
_atom_site_occupancy
Pr1 0.1063 0.2221 0.0355 1
Pr2 0.1928 0.4242 0.5930 1
Sn1 0.0000 0.4912 0.2500 1
Sn2 0.1173 0.1094 0.5760 1
H1 0.2248 0.3650 0.9381 1
# Final energy ... -43.44 eV per formula unit

Entry 3:
# Ho2PuHf, relaxed, DFT PBE
data_Ho2PuHf
_chemical_formula_sum 'Ho2 Pu1 Hf1'
_symmetry_space_group_name_H-M 'P 4/m m m'
_symmetry_Int_Tables_number 123
_symmetry_space_group_name_Hall '-P 4 2'
_cell_length_a 4.7361
_cell_length_b 4.7361
_cell_length_c 4.8165
_cell_angle_alpha 90.00
_cell_angle_beta 90.00
_cell_angle_gamma 90.00
loop_
_atom_site_label
_atom_site_fract_x
_atom_site_fract_y
_atom_site_fract_z
_atom_site_occupancy
Ho1 0.0000 0.5000 0.0000 1
Pu1 0.0000 0.0000 0.5000 1
Hf1 0.5000 0.5000 0.5000 1
# Final energy ... -32.65 eV per formula unit
# E_form ... 0.20 eV/atom

Entry 4:
# TcPRhCl2, relaxed, DFT PBE
data_TcPRhCl2
_chemical_formula_sum 'Tc1 P1 Rh1 Cl2'
_symmetry_space_group_name_H-M 'P 4/m m m'
_symmetry_Int_Tables_number 123
_symmetry_space_group_name_Hall '-P 4 2'
_cell_length_a 4.7762
_cell_length_b 4.7762
_cell_length_c 4.6605
_cell_angle_alpha 90.00
_cell_angle_beta 90.00
_cell_angle_gamma 90.00
loop_
_atom_site_label
_atom_site_fract_x
_atom_site_fract_y
_atom_site_fract_z
_atom_site_occupancy
Tc1 0.0000 0.0000 0.0000 1
P1 0.5000 0.5000 0.0000 1
Rh1 0.5000 0.5000 0.5000 1
Cl1 0.0000 0.5000 0.5000 1
# Final energy ... -23.07 eV per formula unit
# E_form (uncorrected) ... 0.750 eV per atom

Entry 5:
# LaCoSiN, relaxed, DFT PBE
data_LaCoSiN
_chemical_formula_sum 'La2 Co2 Si2 N2'
_symmetry_space_group_name_H-M 'P 4/n m m'
_symmetry_Int_Tables_number 129
_cell_length_a 3.8473
_cell_length_b 3.8473
_cell_length_c 8.2343
_cell_angle_alpha 90.00
_cell_angle_beta 90.00
_cell_angle_gamma 90.00
loop_
_symmetry_equiv_pos_as_xyz
'x,y,z'
'-x,-y,-z'
'-y+1/2,x,z'
'y+1/2,-x,-z'
'-x+1/2,-y+1/2,z'
'x+1/2,y+1/2,-z'
'y,-x+1/2,z'
'-y,x+1/2,-z'
'x+1/2,-y,-z'
'-x+1/2,y,z'
'-y,-x,-z'
'y,x,z'
'-x,y+1/2,-z'
'x,-y+1/2,z'
'y+1/2,x+1/2,-z'
'-y+1/2,-x+1/2,z'
loop_
_atom_site_label
_atom_site_fract_x
_atom_site_fract_y
_atom_site_fract_z
_atom_site_occupancy
La1 0.2500 0.2500 0.1634 1
Co1 0.2500 0.7500 0.5000 1
Si1 0.2500 0.2500 0.6452 1
N1 0.2500 0.2500 0.8622 1
# Final energy ... -30.11 eV per formula unit
# E_form (uncorrected) ... -1.081 eV per atom

Entry 6:
# ZnPtSCl2, relaxed, DFT PBE
data_ZnPtSCl2
_chemical_formula_sum 'Zn1 Pt1 S1 Cl2'
_symmetry_space_group_name_H-M 'P 4/m m m'
_symmetry_Int_Tables_number 123
_symmetry_space_group_name_Hall '-P 4 2'
_cell_length_a 4.5356
_cell_length_b 4.5356
_cell_length_c 5.2578
_cell_angle_alpha 90.00
_cell_angle_beta 90.00
_cell_angle_gamma 90.00
loop_
_atom_site_label
_atom_site_fract_x
_atom_site_fract_y
_atom_site_fract_z
_atom_site_occupancy
Zn1 0.0000 0.0000 0.0000 1
Pt1 0.5000 0.5000 0.5000 1
S1 0.0000 0.0000 0.5000 1
Cl1 0.0000 0.5000 0.0000 1
# Final energy ... -12.72 eV per formula unit
# E_form (uncorrected) ... 0.482 eV per atom